Entry 1:
Density functional theory data (PBE-GGA) for an optimized crystal structure of La4RuSCl2.

It has space group P2/m (No. 10), with a = 7.396 Å, b = 4.093 Å, c = 7.506 Å, α = 90.00°, β = 106.93° and γ = 90.00°. The asymmetric unit holds La at (0.230, 0.000, 0.218), La at (0.253, 0.500, 0.782), Ru at (0.000, 0.500, 0.000), S at (0.500, 0.000, 0.000), Cl at (0.000, 0.000, 0.500) and Cl at (0.500, 0.500, 0.500).

For the final energy, the calculation gives -48.3 eV/f.u. As for the uncorrected formation energy: -1.431 eV/atom.



Entry 2:
Density functional theory data (PBE-GGA) for an optimized crystal structure of Tb6Ho5Tl.

It has space group C2/m (No. 12), with a = 6.095 Å, b = 10.563 Å, c = 11.621 Å, α = 90.00°, β = 100.11° and γ = 90.00°. The asymmetric unit holds Tb at (0.246, 0.000, 0.251), Tb at (0.248, 0.165, 0.748), Ho at (0.000, 0.167, 0.000), Ho at (0.000, 0.334, 0.500), Ho at (0.000, 0.500, 0.000) and Tl at (0.000, 0.000, 0.500).

The offset from the most stable computed form comes out at 0.016 eV/atom. For the final energy, the calculation gives -53.2 eV/f.u. The formation energy is -0.014 eV per atom.



Entry 3:
Density functional theory data (PBE-GGA) for an optimized crystal structure of Sr2MgSnS5.

It has space group Cmc2_1 (No. 36), with a = 3.928 Å, b = 18.483 Å, c = 12.133 Å, α = 90.00°, β = 90.00° and γ = 90.00°. The asymmetric unit holds Sr at (0.000, 0.128, 0.000), Sr at (0.000, 0.132, 0.634), Mg at (0.000, 0.224, 0.355), Sn at (0.000, 0.439, 0.768), S at (0.000, 0.038, 0.387), S at (0.000, 0.292, 0.987), S at (0.000, 0.317, 0.700), S at (0.000, 0.355, 0.321) and S at (0.000, 0.500, 0.095).

For the final energy, the calculation gives -41.8 eV/f.u. As for the uncorrected formation energy: -1.352 eV/atom.



Entry 4:
Density functional theory data (PBE-GGA) for an optimized crystal structure of Sr5As2SO.

It has space group P4/mmm (No. 123), with a = 4.790 Å, b = 4.790 Å, c = 11.297 Å, α = 90.00°, β = 90.00° and γ = 90.00°. The asymmetric unit holds Sr at (0.000, 0.000, 0.000), Sr at (0.000, 0.500, 0.500), Sr at (0.500, 0.500, 0.251), As at (0.000, 0.000, 0.295), S at (0.500, 0.500, 0.000) and O at (0.500, 0.500, 0.500).

For the final energy, the calculation gives -41.8 eV/f.u. As for the uncorrected formation energy: -1.672 eV/atom.



Entry 5:
Density functional theory data (PBE-GGA) for an optimized crystal structure of AcPmSiP.

It has space group F-43m (No. 216), with a = 7.427 Å, b = 7.427 Å, c = 7.427 Å, α = 90.00°, β = 90.00° and γ = 90.00°. The asymmetric unit holds Ac at (0.000, 0.000, 0.000), Pm at (0.000, 0.000, 0.500), Si at (0.250, 0.250, 0.750) and P at (0.250, 0.250, 0.250).

For the final energy, the calculation gives -22.1 eV/f.u. As for the uncorrected formation energy: -0.608 eV/atom.



Entry 6:
Density functional theory data (PBE-GGA) for an optimized crystal structure of PmPd2Au8.

It has space group Immm (No. 71), with a = 4.214 Å, b = 7.484 Å, c = 13.583 Å, α = 90.00°, β = 90.00° and γ = 90.00°. The asymmetric unit holds Pm at (0.000, 0.000, 0.000), Pd at (0.000, 0.000, 0.324), Au at (0.000, 0.198, 0.500), Au at (0.000, 0.262, 0.166) and Au at (0.000, 0.500, 0.336).

The offset from the most stable computed form comes out at 0.000 eV/atom. For the final energy, the calculation gives -43.8 eV/f.u. The formation energy is -0.220 eV per atom.



Entry 7:
Density functional theory data (PBE-GGA) for an optimized crystal structure of BaP2Ru.

It has space group Amm2 (No. 38), with a = 4.188 Å, b = 3.903 Å, c = 12.533 Å, α = 90.00°, β = 90.00° and γ = 90.00°. The asymmetric unit holds Ba at (0.000, 0.000, 0.000), P at (0.000, 0.000, 0.294), P at (0.500, 0.000, 0.632) and Ru at (0.500, 0.000, 0.228).

The offset from the most stable computed form comes out at 0.149 eV/atom. For the final energy, the calculation gives -24.0 eV/f.u. The formation energy is -0.501 eV per atom.



Entry 8:
Density functional theory data (PBE-GGA) for an optimized crystal structure of PmCoSi.

It has space group P4/nmm (No. 129, origin choice 2), with a = 4.020 Å, b = 4.020 Å, c = 6.953 Å, α = 90.00°, β = 90.00° and γ = 90.00°. The asymmetric unit holds Pm at (0.250, 0.250, 0.186), Co at (0.250, 0.750, 0.500) and Si at (0.250, 0.250, 0.671).

The offset from the most stable computed form comes out at 0.000 eV/atom. For the final energy, the calculation gives -19.4 eV/f.u. As for the uncorrected formation energy: -0.700 eV/atom.



Entry 9:
Density functional theory data (PBE-GGA) for an optimized crystal structure of Pm4Y2ErMg.

It has space group P4/mmm (No. 123), with a = 5.045 Å, b = 5.045 Å, c = 10.044 Å, α = 90.00°, β = 90.00° and γ = 90.00°. The asymmetric unit holds Pm at (0.000, 0.500, 0.247), Y at (0.000, 0.000, 0.000), Y at (0.500, 0.500, 0.500), Er at (0.000, 0.000, 0.500) and Mg at (0.500, 0.500, 0.000).

For the final energy, the calculation gives -38.0 eV/f.u. The formation energy is 0.011 eV per atom.



Entry 10:
Density functional theory data (PBE-GGA) for an optimized crystal structure of TlCdSn3.

It has space group C2/c (No. 15), with a = 17.701 Å, b = 10.018 Å, c = 6.492 Å, α = 90.00°, β = 92.11° and γ = 90.00°. The asymmetric unit holds Tl at (0.000, 0.048, 0.250), Tl at (0.000, 0.327, 0.750), Cd at (0.081, 0.370, 0.277), Sn at (0.150, 0.129, 0.540), Sn at (0.171, 0.185, 0.007) and Sn at (0.200, 0.427, 0.665).

The offset from the most stable computed form comes out at 0.002 eV/atom. For the final energy, the calculation gives -15.0 eV/f.u. The formation energy is 0.054 eV per atom.



Entry 11:
Density functional theory data (PBE-GGA) for an optimized crystal structure of DyY2Ga2.

It has space group C2/m (No. 12), with a = 11.826 Å, b = 4.710 Å, c = 10.682 Å, α = 90.00°, β = 120.90° and γ = 90.00°. The asymmetric unit holds Dy at (0.200, 0.000, 0.352), Y at (0.029, 0.500, 0.688), Y at (0.186, 0.500, 0.097), Ga at (0.056, 0.000, 0.919) and Ga at (0.127, 0.000, 0.581).

The offset from the most stable computed form comes out at 0.055 eV/atom. For the final energy, the calculation gives -26.0 eV/f.u. The formation energy is -0.485 eV per atom.



Entry 12:
Density functional theory data (PBE-GGA) for an optimized crystal structure of LaTb3Ce2Ho6.

It has space group C2/m (No. 12), with a = 6.146 Å, b = 10.647 Å, c = 11.724 Å, α = 90.00°, β = 100.07° and γ = 90.00°. The asymmetric unit holds La at (0.000, 0.000, 0.000), Tb at (0.000, 0.166, 0.500), Tb at (0.000, 0.500, 0.500), Ce at (0.000, 0.333, 0.000), Ho at (0.247, 0.500, 0.250) and Ho at (0.248, 0.332, 0.750).

For the final energy, the calculation gives -57.6 eV/f.u. The formation energy is 0.048 eV per atom.